Computed, not measured: TiTe4As after structural relaxation at the PBE-GGA level of DFT.

For the total energy, the calculation gives -4.485 eV per atom. Its crystal system is triclinic.

The space group is P-1 (No. 2) and the conventional cell measures 3.7945, 7.2280 and 7.3874 Å, with angles of 62.87, 75.28 and 90.00 degrees. The asymmetric unit holds Ti at (0.0000, 0.0000, 0.0000), Te at (0.1308, 0.8146, 0.7355), Te at (0.3739, 0.7115, 0.2553) and As at (0.5000, 0.5000, 0.0000).



Computed, not measured: TiTe3As after structural relaxation at the PBE-GGA level of DFT.

The energy above the lowest structure with this stoichiometry comes out at 0 meV/atom. Its crystal system is cubic.

The space group is Pm-3m (No. 221) and the conventional cell measures 5.2993, 5.2993 and 5.2993 Å, with angles of 90.00, 90.00 and 90.00 degrees. The asymmetric unit holds Ti at (0.0000, 0.0000, 0.0000), Te at (0.0000, 0.0000, 0.5000) and As at (0.5000, 0.5000, 0.5000).



Computed, not measured: TiTe2As after structural relaxation at the PBE-GGA level of DFT.

For the total energy, the calculation gives -4.893 eV per atom. Its crystal system is trigonal.

The space group is R-3m (No. 166, hexagonal axes) and the conventional cell measures 3.6456, 3.6456 and 27.7171 Å, with angles of 90.00, 90.00 and 120.00 degrees. The asymmetric unit holds Ti at (0.0000, 0.0000, 0.0000), Te at (0.0000, 0.0000, 0.3973) and As at (0.0000, 0.0000, 0.5000).



Computed, not measured: TiTe3As after structural relaxation at the PBE-GGA level of DFT.

The energy above the lowest structure with this stoichiometry comes out at 407 meV/atom. Its crystal system is cubic.

The space group is Pm-3m (No. 221) and the conventional cell measures 5.3417, 5.3417 and 5.3417 Å, with angles of 90.00, 90.00 and 90.00 degrees. The asymmetric unit holds Ti at (0.0000, 0.0000, 0.0000), Te at (0.0000, 0.5000, 0.5000) and As at (0.5000, 0.5000, 0.5000).